[1]
8
Lattice="4.544 0.000 0.000 0.000 4.544 0.000 0.000 0.000 7.847" Properties=species:S:1:pos:R:3 comment="Zr2TlP PBE optimized geometry" polymorph_energy_mev_per_atom=527 dos_at_fermi_per_ev_cell=5.16 formation_energy_ev_per_atom=-0.256 magmom_total_mub_per_cell=0.0 pbc="T T T"
Zr 0.000 2.272 1.962
Zr 0.000 2.272 5.885
Zr 2.272 0.000 1.962
Zr 2.272 0.000 5.885
Tl 0.000 0.000 0.000
Tl 2.272 2.272 3.923
P 0.000 0.000 3.923
P 2.272 2.272 0.000



[2]
6
Lattice="0.000 3.758 3.758 3.758 0.000 3.758 3.758 3.758 0.000" Properties=species:S:1:pos:R:3 comment="ZrTlP4 PBE optimized geometry" dos_at_fermi_per_ev_cell=5.60 formation_energy_ev_per_atom=0.285 magmom_total_mub_per_cell=0.0 pbc="T T T"
Zr 0.000 0.000 0.000
Tl 1.879 1.879 1.879
P 4.731 2.784 2.784
P 2.784 4.731 2.784
P 2.784 2.784 4.731
P 4.731 4.731 4.731



[3]
6
Lattice="0.000 4.288 4.288 4.288 0.000 4.288 4.288 4.288 0.000" Properties=species:S:1:pos:R:3 comment="ZrTl4P PBE optimized geometry" dos_at_fermi_per_ev_cell=5.24 formation_energy_ev_per_atom=0.640 magmom_total_mub_per_cell=0.0 pbc="T T T"
Zr 0.000 0.000 0.000
Tl 3.216 3.216 3.216
Tl 5.360 5.360 3.216
Tl 5.360 3.216 5.360
Tl 3.216 5.360 5.360
P 6.432 6.432 6.432



[4]
4
Lattice="4.494 0.000 0.000 0.000 4.494 0.000 0.000 0.000 4.494" Properties=species:S:1:pos:R:3 comment="Tm3P PBE optimized geometry" polymorph_energy_mev_per_atom=270 dos_at_fermi_per_ev_cell=3.32 formation_energy_ev_per_atom=-0.320 magmom_total_mub_per_cell=0.0 pbc="T T T"
Tm 0.000 0.000 2.247
Tm 0.000 2.247 0.000
Tm 2.247 0.000 0.000
P 2.247 2.247 2.247



[5]
8
Lattice="3.654 0.000 0.000 0.000 9.398 0.000 0.000 0.000 6.126" Properties=species:S:1:pos:R:3 comment="Tm3P PBE optimized geometry" polymorph_energy_mev_per_atom=0 dos_at_fermi_per_ev_cell=5.97 formation_energy_ev_per_atom=-0.590 magmom_total_mub_per_cell=0.0 pbc="T T T"
Tm 0.000 0.000 0.000
Tm 0.000 1.800 3.238
Tm 0.000 7.598 3.238
Tm 1.827 2.899 0.175
Tm 1.827 4.699 3.063
Tm 1.827 6.499 0.175
P 0.000 4.699 5.037
P 1.827 0.000 1.974



[6]
5
Lattice="5.290 0.000 0.000 0.000 5.290 0.000 0.000 0.000 5.290" Properties=species:S:1:pos:R:3 comment="Tm4P PBE optimized geometry" dos_at_fermi_per_ev_cell=8.70 formation_energy_ev_per_atom=-0.377 magmom_total_mub_per_cell=1.1 pbc="T T T"
Tm 0.000 0.000 0.000
Tm 0.000 2.645 2.645
Tm 2.645 0.000 2.645
Tm 2.645 2.645 0.000
P 2.645 2.645 2.645